Record 1
! SCAN HgIrW3, PBEsol geometry; values from VASP
! - Volume: 105.03 Å³/cell
! - Final energy: -67.677 eV/atom
! - Crystal system: cubic
! - Magnetization: 0.000 μB/atom
&SYSTEM
  ibrav = 0, nat = 5, ntyp = 3
/
ATOMIC_SPECIES
Ir 192.22 Ir.upf
Hg 200.59 Hg.upf
W 183.84 W.upf
ATOMIC_POSITIONS angstrom
Ir 0.0000 0.0000 0.0000
Hg 2.3590 2.3590 2.3590
W 0.0000 2.3590 0.0000
W 0.0000 0.0000 2.3590
W 2.3590 0.0000 0.0000
CELL_PARAMETERS angstrom
4.7181 0.0000 0.0000
0.0000 4.7181 0.0000
0.0000 0.0000 4.7181

=====

Record 2
! SCAN YHg4Ir, PBEsol geometry; values from VASP
! - Volume: 122.31 Å³/cell
! - Final energy: -61.822 eV/atom
! - Crystal system: cubic
! - Magnetization: 0.000 μB/atom
&SYSTEM
  ibrav = 0, nat = 6, ntyp = 3
/
ATOMIC_SPECIES
Hg 200.59 Hg.upf
Ir 192.22 Ir.upf
Y 88.91 Y.upf
ATOMIC_POSITIONS angstrom
Hg -3.2638 -2.0399 -3.3831
Hg -5.3743 -3.8124 -3.7109
Hg -5.2740 -1.4810 -5.2134
Hg -3.4732 -3.5328 -5.7136
Ir -6.5195 -4.0748 -6.7579
Y 0.0000 0.0000 0.0000
CELL_PARAMETERS angstrom
-4.0355 1.1221 -3.6743
-0.4203 -2.9969 -4.6783
-4.2368 -3.5583 -0.6579

=====

Record 3
! SCAN Y2HgIr, PBEsol geometry; values from VASP
! - Volume: 100.28 Å³/cell
! - Final energy: -49.511 eV/atom
! - Crystal system: trigonal
! - Magnetization: 0.000 μB/atom
&SYSTEM
  ibrav = 0, nat = 4, ntyp = 3
/
ATOMIC_SPECIES
Y 88.91 Y.upf
Ir 192.22 Ir.upf
Hg 200.59 Hg.upf
ATOMIC_POSITIONS angstrom
Y 5.9529 3.4369 5.8483
Y 1.9843 1.1456 1.5040
Ir 0.0000 0.0000 0.0000
Hg 3.9686 2.2913 3.6761
CELL_PARAMETERS angstrom
3.9686 0.0000 0.0000
1.9843 3.4369 0.0000
1.9843 1.1456 7.3523

=====

Record 4
! SCAN Y2HgIr, PBEsol geometry; values from VASP
! - Volume: 87.76 Å³/cell
! - Final energy: -49.629 eV/atom
! - Crystal system: tetragonal
! - Magnetization: 0.000 μB/atom
&SYSTEM
  ibrav = 0, nat = 4, ntyp = 3
/
ATOMIC_SPECIES
Y 88.91 Y.upf
Ir 192.22 Ir.upf
Hg 200.59 Hg.upf
ATOMIC_POSITIONS angstrom
Y 5.0951 0.5083 1.3514
Y 1.9441 0.1940 0.5156
Ir 3.3648 -1.6863 2.2835
Hg -0.1548 -2.0374 1.3500
CELL_PARAMETERS angstrom
-0.8043 -0.6991 3.2954
0.4947 -3.3758 -0.5954
7.0392 0.7023 1.8670

=====

Record 5
! SCAN ZnHgIr3, PBEsol geometry; values from VASP
! - Volume: 90.21 Å³/cell
! - Final energy: -57.359 eV/atom
! - Crystal system: cubic
! - Magnetization: 0.000 μB/atom
&SYSTEM
  ibrav = 0, nat = 5, ntyp = 3
/
ATOMIC_SPECIES
Zn 65.41 Zn.upf
Ir 192.22 Ir.upf
Hg 200.59 Hg.upf
ATOMIC_POSITIONS angstrom
Zn 0.0000 0.0000 0.0000
Ir 0.0000 2.2425 0.0000
Ir 0.0000 0.0000 2.2425
Ir 2.2425 0.0000 0.0000
Hg 2.2425 2.2425 2.2425
CELL_PARAMETERS angstrom
4.4849 0.0000 0.0000
0.0000 4.4849 0.0000
0.0000 0.0000 4.4849

=====

Record 6
! SCAN Zr2HgIr, PBEsol geometry; values from VASP
! - Volume: 75.88 Å³/cell
! - Final energy: -50.739 eV/atom
! - Crystal system: tetragonal
! - Magnetization: 0.000 μB/atom
&SYSTEM
  ibrav = 0, nat = 4, ntyp = 3
/
ATOMIC_SPECIES
Hg 200.59 Hg.upf
Ir 192.22 Ir.upf
Zr 91.22 Zr.upf
ATOMIC_POSITIONS angstrom
Hg 1.7493 2.3286 2.3286
Ir 1.7493 0.0000 0.0000
Zr 0.0000 0.0000 2.3286
Zr 0.0000 2.3286 0.0000
CELL_PARAMETERS angstrom
3.4985 0.0000 0.0000
0.0000 4.6572 0.0000
0.0000 0.0000 4.6572